VASP calculation (PBE) on crystalline Ca6Ag5Sb at its relaxed geometry.

Lattice parameters (Å, degrees): 5.214 7.562 15.886 90.00 90.00 90.00
Space group Immm (No. 71)
Symmetry-distinct sites (fractional):
Ca (0.000, 0.248, 0.000) [4 per cell]
Ca (0.000, 0.250, 0.333) [8 per cell]
Ag (0.000, 0.000, 0.166) [4 per cell]
Ag (0.000, 0.500, 0.174) [4 per cell]
Ag (0.000, 0.500, 0.500) [2 per cell]
Sb (0.000, 0.000, 0.500) [2 per cell]

Output
ΔE_f (raw): -439 meV per atom
M_tot: 0.000 μB/atom